No. 1
Tb3Y12Th | GGA-PBE | relaxed

```
Tb3Y12Th
1.0
5.0558 0.0000 0.0000
0.0000 5.0558 0.0000
0.0000 0.0000 20.1994
Y Tb Th
12 3 1
direct
0.0000 0.5000 0.1236
0.5000 0.5000 0.0000
0.0000 0.5000 0.3747
0.5000 0.0000 0.3747
0.5000 0.5000 0.2509
0.5000 0.5000 0.5000
0.0000 0.5000 0.8764
0.5000 0.0000 0.6253
0.0000 0.5000 0.6253
0.5000 0.5000 0.7491
0.5000 0.0000 0.1236
0.5000 0.0000 0.8764
0.0000 0.0000 0.5000
0.0000 0.0000 0.7504
0.0000 0.0000 0.2496
0.0000 0.0000 0.0000
```

---

No. 2
Tb4Y5Th2 (GGA-PBE, relaxed); ΔE to the lowest computed polymorph = 0 meV per atom
1.0
-3.3737 0.6283 -0.9123
0.5036 -8.1345 -7.7627
-2.7587 -5.8540 6.1196
Y Tb Th
5 4 2
direct
0.2357 0.0894 0.3602
0.5000 0.0000 0.0000
0.7417 0.4783 0.8181
0.2583 0.5217 0.1819
0.7643 0.9106 0.6398
0.2145 0.7383 0.9134
0.2415 0.2036 0.7307
0.7855 0.2617 0.0866
0.7585 0.7964 0.2693
0.7501 0.3633 0.4564
0.2499 0.6367 0.5436

---

No. 3
TbYTh (GGA-PBE, relaxed); ΔE to the lowest computed polymorph = 38 meV per atom
1.0
6.5029 -1.6877 -2.5670
-2.0279 6.8820 0.5120
-1.8068 0.6365 10.1373
Y Tb Th
4 4 4
direct
0.3111 0.8563 0.1677
0.8109 0.3565 0.1677
0.6889 0.1437 0.8323
0.1891 0.6435 0.8323
0.2499 0.2502 0.5000
0.7501 0.7498 0.5000
0.7500 0.2498 0.5000
0.2500 0.7502 0.5000
0.3072 0.3568 0.1649
0.1926 0.1427 0.8351
0.6928 0.6432 0.8351
0.8074 0.8573 0.1649

---

No. 4
Tb12YTh5 | GGA-PBE | relaxed

```
Tb12YTh5
1.0
10.6697 -0.0016 -0.0130
5.3353 9.2727 -0.6191
0.0065 -1.7002 5.9540
Tb Th Y
12 5 1
direct
0.4981 0.3334 0.5006
0.1687 0.3332 0.5007
0.9973 0.3354 0.9989
0.5019 0.6667 0.4994
0.8346 0.9999 0.5000
0.6672 0.3356 0.9987
0.0027 0.6646 0.0011
0.3380 0.0001 0.0000
0.3328 0.6644 0.0013
0.1654 0.0001 0.5000
0.8313 0.6668 0.4993
0.6620 0.9999 0.0000
0.6664 0.6671 0.9989
0.1678 0.6644 0.4932
0.3336 0.3329 0.0011
0.5000 0.0000 0.5000
0.8322 0.3356 0.5068
0.0000 0.0000 0.0000
```

---

Number 1: formation enthalpy at 0 K 0.03 eV per atom. Number 2: formation enthalpy at 0 K 0.05 eV per atom. Number 3: formation enthalpy at 0 K 0.06 eV per atom. Number 4: formation enthalpy at 0 K 0.05 eV per atom.